[1]
The following is a PBE-GGA calculation of DyTm4Ag after structural relaxation, from Alexandria via LeMat-Bulk.

abc: 10.6642 10.6642 6.3444
angles: 90.00 90.00 150.92
Sites, in units of the cell vectors:
Dy1 0.1357 0.8643 0.5000
Dy2 0.8643 0.1357 0.0000
Tm1 0.0659 0.9341 0.0044
Tm2 0.2575 0.7425 0.1279
Tm3 0.3235 0.6765 0.6389
Tm4 0.4648 0.5352 0.8376
Tm5 0.5352 0.4648 0.3376
Tm6 0.6765 0.3235 0.1389
Tm7 0.7425 0.2575 0.6279
Tm8 0.9341 0.0659 0.5044
Ag1 0.3979 0.6021 0.2481
Ag2 0.6021 0.3979 0.7481

Summary:
* M_tot: 0.00 μB/cell
* space-group type: Cmc2_1 (36)
* offset from the most stable computed form: 127 meV per atom

***

[2]
The following is a PBE-GGA calculation of Li8GaSn5 after structural relaxation, from Alexandria via LeMat-Bulk.

abc: 7.2086 7.2086 7.2086
angles: 114.73 114.73 99.40
Sites, in units of the cell vectors:
Li1 0.0575 0.4622 0.2233
Li2 0.0898 0.1922 0.7713
Li3 0.1658 0.9425 0.4047
Li4 0.2390 0.8342 0.7767
Li5 0.4208 0.3184 0.2287
Li6 0.5378 0.7610 0.5953
Li7 0.6816 0.9102 0.1024
Li8 0.8078 0.5792 0.8976
Ga1 0.7500 0.2500 0.5000
Sn1 0.0000 0.0000 0.0000
Sn2 0.2995 0.4132 0.6218
Sn3 0.3223 0.7005 0.1138
Sn4 0.5868 0.2086 0.8862
Sn5 0.7914 0.6777 0.3782

Summary:
* M_tot: 0.00 μB/cell
* space-group type: I-4 (82)

***

[3]
The following is a PBE-GGA calculation of PmThC after structural relaxation, from Alexandria via LeMat-Bulk.

abc: 6.3292 3.6479 6.4422
angles: 90.00 90.28 90.00
Sites, in units of the cell vectors:
Pm1 0.0840 0.2500 0.2189
Pm2 0.9160 0.7500 0.7811
Th1 0.4125 0.2500 0.7735
Th2 0.5875 0.7500 0.2265
C1 0.2669 0.7500 0.9936
C2 0.7331 0.2500 0.0064

Summary:
* M_tot: 0.00 μB/cell
* space-group type: P2_1/m (11)
* offset from the most stable computed form: 8 meV per atom

***

[4]
The following is a PBE-GGA calculation of CaPr2Cd after structural relaxation, from Alexandria via LeMat-Bulk.

abc: 5.1066 5.1066 4.9408
angles: 90.00 90.00 90.00
Sites, in units of the cell vectors:
Ca1 0.0000 0.0000 0.0000
Pr1 0.0000 0.5000 0.5000
Pr2 0.5000 0.0000 0.5000
Cd1 0.5000 0.5000 0.0000

Summary:
* M_tot: 0.00 μB/cell
* space-group type: P4/mmm (123)
* offset from the most stable computed form: 34 meV per atom

***

[5]
The following is a PBE-GGA calculation of NaSr2Pt after structural relaxation, from Alexandria via LeMat-Bulk.

abc: 3.7897 3.7897 9.6688
angles: 90.00 90.00 90.00
Sites, in units of the cell vectors:
Na1 0.0000 0.0000 0.0000
Sr1 0.5000 0.5000 0.3194
Sr2 0.5000 0.5000 0.6806
Pt1 0.0000 0.0000 0.5000

Summary:
* M_tot: 0.00 μB/cell
* space-group type: P4/mmm (123)

***

[6]
The following is a PBE-GGA calculation of AcEuEr2 after structural relaxation, from Alexandria via LeMat-Bulk.

abc: 12.9723 12.9723 12.9723
angles: 16.15 16.15 16.15
Sites, in units of the cell vectors:
Ac1 0.0000 0.0000 0.0000
Eu1 0.5000 0.5000 0.5000
Er1 0.4109 0.4109 0.4109
Er2 0.5891 0.5891 0.5891

Summary:
* M_tot: 7.80 μB/cell
* space-group type: R-3m (166)
* offset from the most stable computed form: 132 meV per atom

***

D(E_F) across the listed records, respectively: 16.88 5.11 5.57 5.32 2.87 6.35 states/eV/cell.
Energy of formation from the pure elements across the listed records, respectively: 28 -314 -52 -29 -167 91 kJ/mol of formula units.